First-principles (PBE with a Hubbard U) data for an optimized crystal structure of NaV13O18, as listed in Alexandria.

Properties
Total energy ... -7.77 eV per atom
Size of the total moment ... 30.00 μB per cell
Density ... 4.32 Mg/m³

Cell lengths 7.4196, 7.9898, 8.0295 Å; angles 110.28, 108.73, 107.59 degrees
Element x y z (fractional)
Na: 0.0000 0.0000 0.0000
V: 0.0163 0.2053 0.6857
V: 0.1200 0.5849 0.6114
V: 0.2207 0.9364 0.5543
V: 0.2893 0.6421 0.0430
V: 0.3092 0.3066 0.4898
V: 0.4010 0.0116 0.9842
V: 0.4742 0.6990 0.4843
V: 0.4810 0.3601 0.9273
V: 0.5462 0.0612 0.4110
V: 0.6467 0.4362 0.3574
V: 0.7654 0.8083 0.2778
V: 0.8106 0.4997 0.7884
V: 0.9701 0.5001 0.1884
O: 0.0062 0.4021 0.9389
O: 0.0595 0.0699 0.4329
O: 0.1152 0.7381 0.8816
O: 0.1706 0.4395 0.3680
O: 0.2017 0.0945 0.8141
O: 0.2772 0.7834 0.3149
O: 0.2812 0.4560 0.7666
O: 0.3802 0.1690 0.2586
O: 0.3968 0.8445 0.7083
O: 0.4863 0.5544 0.2021
O: 0.4943 0.2113 0.6484
O: 0.5484 0.9072 0.1517
O: 0.6067 0.5548 0.6110
O: 0.6666 0.2791 0.1073
O: 0.7300 0.9595 0.5415
O: 0.7761 0.5984 0.0314
O: 0.8311 0.3349 0.5426
O: 0.9420 0.6764 0.4249